A plane-wave DFT calculation with PBE was carried out for a relaxed LuHfCuPb crystal.

Lattice parameters (Å, degrees): 7.1033 7.1033 7.1033 90.00 90.00 90.00
Closest atoms and distances in Å follow each position.
Space group F-43m (No. 216)
Asymmetric unit:
Lu 0.0000 0.0000 0.0000  4 Hf 3.08, 4 Cu 3.08
Hf 0.2500 0.2500 0.2500  4 Pb 3.08, 4 Lu 3.08
Cu 0.2500 0.2500 0.7500  4 Pb 3.08, 4 Lu 3.08
Pb 0.0000 0.0000 0.5000  4 Hf 3.08, 4 Cu 3.08

Output
energy relative to the lowest polymorph listed for this composition: 0.0 kJ per mole of atoms
total moment: 1.4 μB/f.u.
theoretical density: 11.57 g/cm3